[1]
PrAlCd2Pd4: relaxed, GGA-PBE.

Output
**D(E_F)**: 10.88 states/eV per cell
**Density**: 9.1 Mg/m³
**Electronic total energy**: -4.48 eV/atom

abc: 4.6868 4.6868 23.5342
angles: 90.00 90.00 120.00
With the nearest neighbours (Å) after each atom.
Space group R-3m (No. 166, hexagonal axes)
Inequivalent atoms, fractional coordinates:
Pr: 0.0000 0.0000 0.0000 [3 per cell]  8 Pd 3.06-3.09, 6 Cd 3.36
Al: 0.0000 0.0000 0.5000 [3 per cell]  2 Pd 2.49
Cd: 0.0000 0.0000 0.2489 [6 per cell]  7 Pd 2.76-2.92
Pd: 0.0000 0.0000 0.1314 [6 per cell]  4 Cd 2.76-2.92, 3 Al 2.83, 1 Pr 3.09
Pd: 0.0000 0.0000 0.3943 [6 per cell]  1 Al 2.49, 3 Cd 2.76

[2]
RbAl2CdPd: relaxed, GGA-PBE.

Output
**D(E_F)**: 2.73 states/eV per cell
**Density**: 4.2 Mg/m³
**Electronic total energy**: -2.45 eV/atom

abc: 5.1330 5.1330 5.4164
angles: 90.00 90.00 90.00
With the nearest neighbours (Å) after each atom.
Space group P4/mmm (No. 123)
Inequivalent atoms, fractional coordinates:
Rb: 0.0000 0.0000 0.0000 [1 per cell]  4 Pd 3.63, 8 Al 3.73
Al: 0.0000 0.5000 0.5000 [2 per cell]  2 Cd 2.57
Cd: 0.5000 0.5000 0.5000 [1 per cell]  4 Al 2.57, 2 Pd 2.71
Pd: 0.5000 0.5000 0.0000 [1 per cell]  2 Cd 2.71

Question: What is the formula in the first record?
Answer: PrAlCd2Pd4

Please write out number 1 again, unchanged.
PrAlCd2Pd4: relaxed, GGA-PBE.

Output
**D(E_F)**: 10.88 states/eV per cell
**Density**: 9.1 Mg/m³
**Electronic total energy**: -4.48 eV/atom

abc: 4.6868 4.6868 23.5342
angles: 90.00 90.00 120.00
With the nearest neighbours (Å) after each atom.
Space group R-3m (No. 166, hexagonal axes)
Inequivalent atoms, fractional coordinates:
Pr: 0.0000 0.0000 0.0000 [3 per cell]  8 Pd 3.06-3.09, 6 Cd 3.36
Al: 0.0000 0.0000 0.5000 [3 per cell]  2 Pd 2.49
Cd: 0.0000 0.0000 0.2489 [6 per cell]  7 Pd 2.76-2.92
Pd: 0.0000 0.0000 0.1314 [6 per cell]  4 Cd 2.76-2.92, 3 Al 2.83, 1 Pr 3.09
Pd: 0.0000 0.0000 0.3943 [6 per cell]  1 Al 2.49, 3 Cd 2.76

Question: Look up the D(E_F) of the second one.
Answer: 2.73 states/eV per cell

Question: Which of these has the highest D(E_F)?
Answer: PrAlCd2Pd4